Entry 1:
MgSBr2 | PBE-GGA | optimized geometry

Unit cell a=3.7877 b=3.7877 c=31.2196 alpha=90.00 beta=90.00 gamma=120.00
Space group R-3m (No. 166, hexagonal axes)
Asymmetric unit:
1 Mg 0.0000 0.0000 0.0000 [3 per cell]
2 S 0.0000 0.0000 0.5000 [3 per cell]
3 Br 0.0000 0.0000 0.3827 [6 per cell]

- formation energy (no corrections) (eV per atom) = -0.456
- ΔE to the lowest computed polymorph (kJ/mol of formula units) = 0.0

---

Entry 2:
ZrIn2W | PBE-GGA | optimized geometry

Unit cell a=2.985 b=2.985 c=9.028 alpha=90.00 beta=90.00 gamma=90.00
Space group P4/mmm (No. 123)
Asymmetric unit:
1 Zr 0.000 0.000 0.000 [1 per cell]
2 In 0.500 0.500 0.263 [2 per cell]
3 W 0.000 0.000 0.500 [1 per cell]

- formation energy (eV/atom) = 0.28
- ΔE to the lowest computed polymorph (kJ/mol of formula units) = 28.8

---

Entry 3:
Pr2GaNi4As3 | PBE-GGA | optimized geometry

Unit cell a=4.147 b=4.147 c=9.833 alpha=90.00 beta=90.00 gamma=90.00
Space group P-4m2 (No. 115)
Asymmetric unit:
1 Pr 0.000 0.500 0.245 [2 per cell]
2 Ga 0.000 0.000 0.500 [1 per cell]
3 Ni 0.000 0.000 0.000 [1 per cell]
4 Ni 0.000 0.500 0.627 [2 per cell]
5 Ni 0.500 0.500 0.000 [1 per cell]
6 As 0.000 0.500 0.870 [2 per cell]
7 As 0.500 0.500 0.500 [1 per cell]

- formation energy (eV/atom) = -0.80

---

Entry 4:
KTeAu2 | PBE-GGA | optimized geometry

Unit cell a=4.690 b=4.690 c=4.459 alpha=90.00 beta=90.00 gamma=90.00
Space group P4/mmm (No. 123)
Asymmetric unit:
1 K 0.000 0.000 0.000 [1 per cell]
2 Te 0.500 0.500 0.000 [1 per cell]
3 Au 0.000 0.500 0.500 [2 per cell]

- formation energy (no corrections) (eV per atom) = -0.033

---

Entry 5:
SiAs2BrN | PBE-GGA | optimized geometry

Unit cell a=4.342 b=4.342 c=4.769 alpha=90.00 beta=90.00 gamma=90.00
Space group P4/mmm (No. 123)
Asymmetric unit:
1 Si 0.000 0.000 0.000 [1 per cell]
2 As 0.000 0.500 0.500 [2 per cell]
3 Br 0.500 0.500 0.000 [1 per cell]
4 N 0.500 0.500 0.500 [1 per cell]

- formation energy (no corrections) (eV per atom) = 1.083
- ΔE to the lowest computed polymorph (kJ/mol of formula units) = 0.0

---

Entry 6:
NaSm4Te5 | PBE-GGA | optimized geometry

Unit cell a=4.470 b=6.283 c=22.380 alpha=90.00 beta=90.00 gamma=90.00
Space group Immm (No. 71)
Asymmetric unit:
1 Na 0.000 0.000 0.000 [2 per cell]
2 Sm 0.000 0.000 0.204 [4 per cell]
3 Sm 0.000 0.000 0.399 [4 per cell]
4 Te 0.000 0.500 0.000 [2 per cell]
5 Te 0.000 0.500 0.199 [4 per cell]
6 Te 0.000 0.500 0.398 [4 per cell]

- formation energy (no corrections) (eV per atom) = -1.372

---

Entry 7:
CsTlAgTe | PBE-GGA | optimized geometry

Unit cell a=4.660 b=4.660 c=14.980 alpha=90.00 beta=90.00 gamma=90.00
Space group P4/nmm (No. 129, origin choice 2)
Asymmetric unit:
1 Cs 0.250 0.250 0.231 [2 per cell]
2 Tl 0.250 0.750 0.500 [2 per cell]
3 Ag 0.250 0.750 0.000 [2 per cell]
4 Te 0.250 0.250 0.886 [2 per cell]

- formation energy (no corrections) (eV per atom) = -0.344

---

Entry 8:
Pm2PuTe4 | PBE-GGA | optimized geometry

Unit cell a=9.479 b=9.479 c=9.438 alpha=90.00 beta=90.00 gamma=90.00
Space group I-42d (No. 122)
Asymmetric unit:
1 Pm 0.126 0.250 0.125 [8 per cell]
2 Pu 0.000 0.000 0.500 [4 per cell]
3 Te 0.076 0.175 0.800 [16 per cell]

- formation energy (no corrections) (eV per atom) = -1.332
- ΔE to the lowest computed polymorph (kJ/mol of formula units) = 0.0

---

Number 1: calculated total energy -32.670 eV per cell, density of states at the Fermi level 0.29 states/eV/atom. Number 2: calculated total energy -25.847 eV per cell, density of states at the Fermi level 0.86 states/eV/atom. Number 3: calculated total energy -57.690 eV per cell, density of states at the Fermi level 0.52 states/eV/atom. Number 4: calculated total energy -10.928 eV per cell, density of states at the Fermi level 0.42 states/eV/atom. Number 5: calculated total energy -19.303 eV per cell, density of states at the Fermi level 0.48 states/eV/atom. Number 6: calculated total energy -99.238 eV per cell, density of states at the Fermi level 0.27 states/eV/atom. Number 7: calculated total energy -21.178 eV per cell, density of states at the Fermi level 0.70 states/eV/atom. Number 8: calculated total energy -182.900 eV per cell, density of states at the Fermi level 1.82 states/eV/atom.